VASP calculation (PBE) on LaPHPd2 after structural relaxation.

Unit cell a=4.0693 b=5.7425 c=7.2747 alpha=90.00 beta=90.00 gamma=110.75
Fractional coordinates of all 10 atoms:
La (0.4410, 0.8821, 0.7500)
La (0.5590, 0.1179, 0.2500)
P (0.7233, 0.4466, 0.7500)
P (0.2767, 0.5534, 0.2500)
H (0.0000, 0.0000, 0.0000)
H (0.0000, 0.0000, 0.5000)
Pd (0.1643, 0.3286, 0.9427)
Pd (0.8357, 0.6714, 0.0573)
Pd (0.1643, 0.3286, 0.5573)
Pd (0.8357, 0.6714, 0.4427)

energy above the lowest structure with this stoichiometry: 0.000 eV per atom
magnetic moment: 0.000 μB/f.u.
theoretical density: 8.0 Mg/m³